Record 1
{"formula": "LiScPt2", "functional": "PBE-GGA", "state": "optimized geometry", "lattice_angstrom": [[-0.9116, -3.5739, 2.0953], [4.9311, 1.5086, 4.7185], [-8.5911, 6.2781, 6.9708]], "species": ["Pt", "Pt", "Pt", "Pt", "Pt", "Pt", "Pt", "Pt", "Pt", "Pt", "Pt", "Pt", "Li", "Li", "Li", "Li", "Li", "Li", "Sc", "Sc", "Sc", "Sc", "Sc", "Sc"], "fractional_positions": [[0.0000, 0.7501, 0.1667], [0.5000, 0.2501, 0.3333], [0.5000, 0.2501, 0.0000], [0.0000, 0.7501, 0.8333], [0.5000, 0.7499, 0.3333], [0.0000, 0.2499, 0.8333], [0.5000, 0.7499, 0.0000], [0.0000, 0.7501, 0.5000], [0.5000, 0.7499, 0.6667], [0.0000, 0.2499, 0.5000], [0.0000, 0.2499, 0.1667], [0.5000, 0.2501, 0.6667], [0.5000, 0.0000, 0.5000], [0.0000, 0.5000, 0.3334], [0.5000, 0.0000, 0.1666], [0.5000, 0.0000, 0.8334], [0.0000, 0.5000, 0.0000], [0.0000, 0.5000, 0.6666], [0.0000, 0.0000, 0.6667], [0.5000, 0.5000, 0.5000], [0.5000, 0.5000, 0.8333], [0.0000, 0.0000, 0.3333], [0.5000, 0.5000, 0.1667], [0.0000, 0.0000, 0.0000]], "rho_kg_m3": 11678, "space_group": "I4/mmm, No. 139", "magnetic_moment_mub_per_cell": 0.0, "e_tot_ev_per_fu": -24.33, "de_polymorph_ev_per_atom": 0.010}



Record 2
{"formula": "YAuSO", "functional": "PBE-GGA", "state": "optimized geometry", "lattice_angstrom": [[4.1080, 0.0000, 0.0000], [0.0000, 6.2569, 0.0000], [0.0000, 0.0000, 6.4089]], "species": ["Au", "Au", "Y", "Y", "S", "S", "O", "O"], "fractional_positions": [[0.0000, 0.2876, 0.1122], [0.0000, 0.7124, 0.6122], [0.5000, 0.1997, 0.4861], [0.5000, 0.8003, 0.9861], [0.0000, 0.6514, 0.2212], [0.0000, 0.3486, 0.7212], [0.5000, 0.9214, 0.6715], [0.5000, 0.0786, 0.1715]], "rho_kg_m3": 6732, "space_group": "Pmc2_1, No. 26", "magnetic_moment_mub_per_cell": 0.0, "e_tot_ev_per_fu": -24.65, "de_polymorph_ev_per_atom": 0.490}



Record 3
{"formula": "Zr2Nb", "functional": "PBE-GGA", "state": "optimized geometry", "lattice_angstrom": [[-2.8900, -0.4509, -4.8720], [4.5963, -3.2221, 0.8858], [-10.5362, -12.9814, 7.4513]], "species": ["Nb", "Nb", "Nb", "Nb", "Nb", "Nb", "Nb", "Nb", "Zr", "Zr", "Zr", "Zr", "Zr", "Zr", "Zr", "Zr", "Zr", "Zr", "Zr", "Zr", "Zr", "Zr", "Zr", "Zr"], "fractional_positions": [[0.3333, 0.6667, 0.6568], [0.3333, 0.6667, 0.8432], [0.0000, 0.0000, 0.4074], [0.6667, 0.3333, 0.1568], [0.6667, 0.3333, 0.3432], [0.0000, 0.0000, 0.9074], [0.0000, 0.0000, 0.0926], [0.0000, 0.0000, 0.5926], [0.3333, 0.6667, 0.1295], [0.5000, 0.5000, 0.5000], [0.6667, 0.3333, 0.8705], [0.6862, 0.8431, 0.2500], [0.1569, 0.3138, 0.2500], [0.0000, 0.5000, 0.5000], [0.0000, 0.5000, 0.0000], [0.5000, 0.0000, 0.5000], [0.5000, 0.0000, 0.0000], [0.1569, 0.8431, 0.2500], [0.8431, 0.6862, 0.7500], [0.5000, 0.5000, 0.0000], [0.3138, 0.1569, 0.7500], [0.8431, 0.1569, 0.7500], [0.3333, 0.6667, 0.3705], [0.6667, 0.3333, 0.6295]], "rho_kg_m3": 7146, "ef_ev_per_atom": 0.45, "space_group": "P6_3/mmc, No. 194", "magnetic_moment_mub_per_cell": 0.0, "e_tot_ev_per_fu": -25.84}



Record 4
{"formula": "CsZrCd", "functional": "PBE-GGA", "state": "optimized geometry", "lattice_angstrom": [[-1.7642, -4.5771, 2.9294], [-4.2444, -3.2355, -2.0398], [1.1018, -5.2498, -1.9672]], "species": ["Cs", "Zr", "Cd"], "fractional_positions": [[0.0000, 0.0000, 0.0000], [0.7500, 0.7500, 0.7500], [0.2500, 0.2500, 0.2500]], "rho_kg_m3": 4237, "space_group": "F-43m, No. 216", "magnetic_moment_mub_per_cell": 3.1, "e_tot_ev_per_fu": -5.34}